[1]
Material: Mn2TlP
Method: DFT, PBE-GGA
State: relaxed

```
4
Lattice="4.863 -0.001 0.000 1.239 4.702 0.000 -3.051 -2.350 2.969" Properties=species:S:1:pos:R:3 pbc="T T T"
Mn 0.000 0.000 0.000
Mn 3.051 2.350 0.000
P 0.619 2.351 1.484
Tl 2.431 -0.001 1.484
```

Results
The calculation puts the volume at 67.9 Å³/cell. As for the space-group type: I4/mmm, No. 139. For the density of states at the Fermi level, the calculation gives 0.79 states/eV/atom. As for the energy of formation from the pure elements: 1.81 eV per formula unit.

***

[2]
Material: MnTlP2
Method: DFT, PBE-GGA
State: relaxed

```
4
Lattice="4.195 0.009 0.005 3.111 2.814 0.005 1.418 0.548 6.365" Properties=species:S:1:pos:R:3 pbc="T T T"
Mn 1.668 0.645 0.513
P 6.880 2.659 0.666
P 6.815 2.633 5.252
Tl 5.027 1.942 3.143
```

Results
The calculation puts the volume at 74.9 Å³/cell. As for the space-group type: Cm, No. 8. For the density of states at the Fermi level, the calculation gives 0.34 states/eV/atom. As for the energy of formation from the pure elements: -0.03 eV per formula unit. The excess energy over the best structure of this formula in the dataset is 3.0 kJ/mol of atoms.

***

[3]
Material: MnTlP2
Method: DFT, PBE-GGA
State: relaxed

```
4
Lattice="7.570 0.031 0.019 6.802 3.323 0.019 6.802 1.587 2.919" Properties=species:S:1:pos:R:3 pbc="T T T"
Mn 15.520 3.622 2.167
P 21.109 4.927 2.948
P 5.731 1.338 0.800
Tl 10.575 2.468 1.477
```

Results
The calculation puts the volume at 72.4 Å³/cell. As for the space-group type: R3m, No. 160. For the density of states at the Fermi level, the calculation gives 0.86 states/eV/atom. As for the energy of formation from the pure elements: 1.24 eV per formula unit. The excess energy over the best structure of this formula in the dataset is 33.8 kJ/mol of atoms.

***

[4]
Material: MnTlP2
Method: DFT, PBE-GGA
State: relaxed

```
4
Lattice="-5.061 1.505 -1.470 -0.612 -0.675 -5.405 0.850 -2.443 4.832" Properties=species:S:1:pos:R:3 pbc="T T T"
Mn -3.743 -0.229 -0.302
P -0.098 0.014 -0.119
P -0.988 -1.397 -1.628
Tl -2.831 0.414 -3.431
```

Results
The calculation puts the volume at 77.8 Å³/cell. As for the space-group type: Imm2, No. 44. For the density of states at the Fermi level, the calculation gives 0.67 states/eV/atom. As for the energy of formation from the pure elements: 1.70 eV per formula unit. The excess energy over the best structure of this formula in the dataset is 44.8 kJ/mol of atoms.

***

[5]
Material: MnTlP2
Method: DFT, PBE-GGA
State: relaxed

```
4
Lattice="-4.802 -0.767 -0.709 -0.227 -0.235 -4.904 2.987 -2.575 2.932" Properties=species:S:1:pos:R:3 pbc="T T T"
Mn -2.165 -1.921 -0.292
P 0.000 0.000 0.000
P -2.515 -0.501 -2.807
Tl 0.123 -1.655 -2.389
```

Results
The calculation puts the volume at 73.8 Å³/cell. As for the space-group type: I4/mmm, No. 139. For the density of states at the Fermi level, the calculation gives 0.54 states/eV/atom. As for the energy of formation from the pure elements: 2.40 eV per formula unit. The excess energy over the best structure of this formula in the dataset is 61.8 kJ/mol of atoms.

***

[6]
Material: Mn2TlP
Method: DFT, PBE-GGA
State: relaxed

```
4
Lattice="4.207 0.000 0.000 0.000 4.207 0.000 0.000 0.000 3.750" Properties=species:S:1:pos:R:3 pbc="T T T"
Mn 0.000 0.000 0.000
Mn 2.103 2.103 0.000
P 2.103 0.000 1.875
Tl 0.000 2.103 1.875
```

Results
The calculation puts the volume at 66.4 Å³/cell. As for the space-group type: P4/mmm, No. 123. For the density of states at the Fermi level, the calculation gives 0.67 states/eV/atom. As for the energy of formation from the pure elements: 1.76 eV per formula unit.

***

[7]
Material: MnTlP4
Method: DFT, PBE-GGA
State: relaxed

```
6
Lattice="-0.364 -4.179 -3.770 -4.591 -0.484 -3.239 0.306 1.143 -5.514" Properties=species:S:1:pos:R:3 pbc="T T T"
Mn 0.000 0.000 0.000
Tl -3.486 -2.640 -9.393
P -1.850 -3.718 -6.641
P -1.453 -0.559 -7.677
P -4.360 -1.525 -6.326
P -1.634 -1.237 -4.403
```

Results
The calculation puts the volume at 126.8 Å³/cell. As for the space-group type: F-43m, No. 216. For the density of states at the Fermi level, the calculation gives 0.68 states/eV/atom. As for the energy of formation from the pure elements: 3.65 eV per formula unit.

***

[8]
Material: Tm2MnP
Method: DFT, PBE-GGA
State: relaxed

```
4
Lattice="3.668 0.000 0.000 1.834 3.177 0.000 1.834 1.059 9.121" Properties=species:S:1:pos:R:3 pbc="T T T"
P 3.668 2.118 4.560
Tm 1.834 1.059 6.180
Tm 5.502 3.177 2.941
Mn 0.000 0.000 0.000
```

Results
The calculation puts the volume at 106.3 Å³/cell. As for the space-group type: R-3m, No. 166. For the density of states at the Fermi level, the calculation gives 0.74 states/eV/atom. As for the energy of formation from the pure elements: -0.42 eV per formula unit.

***

- Which value of energy of formation from the pure elements does entry 2 give?
  -0.03 eV per formula unit